--- w ---
Below is crystalline AlSeOF2 at its relaxed geometry, with properties calculated at the PBE level.

Lattice parameters (Å, degrees): 4.605 4.605 3.804 90.00 90.00 90.00
Sites, in units of the cell vectors:
Al: 0.000 0.000 0.000
Se: 0.500 0.500 0.500
O: 0.500 0.500 0.000
F: 0.000 0.500 0.500
F: 0.500 0.000 0.500

Magnetic moment, μB per cell: 0.000
Fermi-level density of states, states/eV/atom: 0.203
ρ, g/cm3: 3.29

---

--- x ---
Below is crystalline AlSeOF2 at its relaxed geometry, with properties calculated at the PBE level.

Lattice parameters (Å, degrees): 3.584 3.584 4.564 90.00 90.00 90.00
Sites, in units of the cell vectors:
Al: 0.000 0.000 0.000
Se: 0.500 0.500 0.500
O: 0.000 0.000 0.500
F: 0.000 0.500 0.000
F: 0.500 0.000 0.000

Magnetic moment, μB per cell: 0.000
Fermi-level density of states, states/eV/atom: 0.275
ρ, g/cm3: 4.53

---

x (92.2 kJ/mol of atoms below the next structure)

---

--- w ---
Below is crystalline AlSnOF2 at its relaxed geometry, with properties calculated at the PBE level.

Lattice parameters (Å, degrees): 4.325 4.325 3.510 90.00 90.00 90.00
Sites, in units of the cell vectors:
Al: 0.000 0.000 0.000
Sn: 0.500 0.500 0.500
O: 0.000 0.000 0.500
F: 0.000 0.500 0.000
F: 0.500 0.000 0.000

Magnetic moment, μB per cell: 0.000
Fermi-level density of states, states/eV/atom: 0.429
ρ, g/cm3: 5.05

---

--- x ---
Below is crystalline AlSnOF2 at its relaxed geometry, with properties calculated at the PBE level.

Lattice parameters (Å, degrees): 4.558 4.558 4.158 90.00 90.00 90.00
Sites, in units of the cell vectors:
Al: 0.000 0.000 0.000
Sn: 0.500 0.500 0.500
O: 0.500 0.500 0.000
F: 0.000 0.500 0.500
F: 0.500 0.000 0.500

Magnetic moment, μB per cell: 0.000
Fermi-level density of states, states/eV/atom: 0.123
ρ, g/cm3: 3.84

---

w (66.1 kJ/mol of atoms below the next structure)

---

--- w ---
Below is crystalline SrAlOF2 at its relaxed geometry, with properties calculated at the PBE level.

Lattice parameters (Å, degrees): 4.323 4.323 3.696 90.00 90.00 90.00
Sites, in units of the cell vectors:
Sr: 0.000 0.000 0.000
Al: 0.500 0.500 0.500
O: 0.500 0.500 0.000
F: 0.000 0.500 0.500
F: 0.500 0.000 0.500

Magnetic moment, μB per cell: 0.000
Fermi-level density of states, states/eV/atom: 0.352
ρ, g/cm3: 4.05

---

--- x ---
Below is crystalline SrAlOF2 at its relaxed geometry, with properties calculated at the PBE level.

Lattice parameters (Å, degrees): 4.640 4.640 4.842 90.00 90.00 90.00
Sites, in units of the cell vectors:
Sr: 0.000 0.000 0.000
Al: 0.500 0.500 0.500
O: 0.000 0.000 0.500
F: 0.000 0.500 0.000
F: 0.500 0.000 0.000

Magnetic moment, μB per cell: 1.000
Fermi-level density of states, states/eV/atom: 0.465
ρ, g/cm3: 2.69

---

w (85.3 kJ/mol of atoms below the next structure)